Computed, not measured: LaP2Au at its PBEsol-relaxed geometry at the meta-GGA SCAN level of DFT.

Unit cell a=4.1289 b=4.4752 c=4.7565 alpha=90.00 beta=90.00 gamma=91.72
Positions (direct):
P1 0.8384 0.9781 0.0000
P2 0.7535 0.2516 0.5000
La1 0.2433 0.7925 0.5000
Au1 0.6648 0.4778 0.0000

Values from the calculation:
Energy of formation from the pure elements: -0.78 eV/atom
Magnetic moment: 0.000 μB/atom
E: -34.04 eV/atom
Symmetry: Pm (6)
Calculated volume: 88 Å³/f.u.


Computed, not measured: LaP2Au at its PBEsol-relaxed geometry at the meta-GGA SCAN level of DFT.

Unit cell a=4.1335 b=4.1364 c=5.6950 alpha=111.29 beta=111.28 gamma=90.00
Positions (direct):
P1 0.3253 0.7003 0.4007
P2 0.5500 0.9249 0.8497
Au1 0.6874 0.5624 0.1249
La1 0.9373 0.3124 0.6247

Values from the calculation:
Energy of formation from the pure elements: -1.01 eV/atom
Magnetic moment: 0.000 μB/atom
E: -34.27 eV/atom
Symmetry: I-4m2 (119)
Calculated volume: 84 Å³/f.u.


Computed, not measured: La2PAu at its PBEsol-relaxed geometry at the meta-GGA SCAN level of DFT.

Unit cell a=4.1490 b=4.1490 c=7.7446 alpha=74.46 beta=74.46 gamma=60.00
Last column: magnetic moment on the atom in μB.
Positions (direct):
Au1 0.0000 0.0000 0.0000  -0.09
P1 0.5000 0.5000 0.5000  0.02
La1 0.7568 0.7568 0.7297  -0.18
La2 0.2432 0.2432 0.2703  -0.18

Values from the calculation:
Energy of formation from the pure elements: -1.32 eV/atom
Magnetic moment: 0.299 μB/atom
E: -42.76 eV/atom
Symmetry: R-3m (166)
Calculated volume: 110 Å³/f.u.


Computed, not measured: LaPAuS2 at its PBEsol-relaxed geometry at the meta-GGA SCAN level of DFT.

Unit cell a=5.3360 b=5.3360 c=5.6402 alpha=90.00 beta=90.00 gamma=90.00
Last column: magnetic moment on the atom in μB.
Positions (direct):
S1 0.0000 0.5000 0.0000  0.42
S2 0.5000 0.0000 0.0000  0.42
La1 0.0000 0.0000 0.0000  0.09
Au1 0.5000 0.5000 0.5000  -0.06
P1 0.0000 0.0000 0.5000  0.82

Values from the calculation:
Magnetic moment: 0.612 μB/atom
Uncorrected formation energy: 0.480 eV/atom
E: -27.90 eV/atom
Symmetry: P4/mmm (123)
Calculated volume: 161 Å³/f.u.


Computed, not measured: LaTlP2Au at its PBEsol-relaxed geometry at the meta-GGA SCAN level of DFT.

Unit cell a=4.8972 b=4.8972 c=6.0577 alpha=90.00 beta=90.00 gamma=90.00
Positions (direct):
P1 0.0000 0.5000 0.0000
P2 0.5000 0.0000 0.0000
Au1 0.5000 0.5000 0.5000
La1 0.0000 0.0000 0.5000
Tl1 0.0000 0.0000 0.0000

Values from the calculation:
Energy of formation from the pure elements: 0.71 eV/atom
Magnetic moment: 0.000 μB/atom
E: -40.38 eV/atom
Symmetry: P4/mmm (123)
Calculated volume: 145 Å³/f.u.


Computed, not measured: La2PbAu at its PBEsol-relaxed geometry at the meta-GGA SCAN level of DFT.

Unit cell a=5.3060 b=5.3060 c=5.3060 alpha=60.00 beta=60.00 gamma=60.00
Positions (direct):
Au1 0.5000 0.5000 0.5000
Pb1 0.2500 0.2500 0.2500
La1 0.0000 0.0000 0.0000
La2 0.7500 0.7500 0.7500

Values from the calculation:
Energy of formation from the pure elements: -0.35 eV/atom
Magnetic moment: 0.003 μB/atom
E: -58.13 eV/atom
Symmetry: F-43m (216)
Calculated volume: 106 Å³/f.u.


Computed, not measured: La2PbAu at its PBEsol-relaxed geometry at the meta-GGA SCAN level of DFT.

Unit cell a=3.6148 b=3.6148 c=8.4514 alpha=90.00 beta=89.98 gamma=90.00
Positions (direct):
La1 0.0001 0.0000 0.7278
La2 0.9999 0.0000 0.2722
Pb1 0.5000 0.5000 0.0000
Au1 0.5000 0.5000 0.5000

Values from the calculation:
Energy of formation from the pure elements: -0.90 eV/atom
Magnetic moment: 0.000 μB/atom
E: -58.68 eV/atom
Symmetry: P4/mmm (123)
Calculated volume: 110 Å³/f.u.


Computed, not measured: LaPbAu4 at its PBEsol-relaxed geometry at the meta-GGA SCAN level of DFT.

Unit cell a=5.6373 b=5.6373 c=5.6373 alpha=60.00 beta=60.00 gamma=60.00
Positions (direct):
Au1 0.3749 0.3749 0.8752
Au2 0.8752 0.3749 0.3749
Au3 0.3749 0.8752 0.3749
Au4 0.3749 0.3749 0.3749
Pb1 0.0000 0.0000 0.0000
La1 0.7500 0.7500 0.7500

Values from the calculation:
Energy of formation from the pure elements: -0.55 eV/atom
Magnetic moment: 0.000 μB/atom
E: -66.47 eV/atom
Symmetry: F-43m (216)
Calculated volume: 127 Å³/f.u.


Computed, not measured: LaPb2Au at its PBEsol-relaxed geometry at the meta-GGA SCAN level of DFT.

Unit cell a=4.6383 b=4.7240 c=4.7240 alpha=90.00 beta=90.00 gamma=90.00
Positions (direct):
Pb1 0.0000 0.0000 0.5000
Pb2 0.0000 0.5000 0.0000
La1 0.5000 0.0000 0.0000
Au1 0.5000 0.5000 0.5000

Values from the calculation:
Energy of formation from the pure elements: -0.61 eV/atom
Magnetic moment: 0.000 μB/atom
E: -66.56 eV/atom
Symmetry: P4/mmm (123)
Calculated volume: 104 Å³/f.u.


Computed, not measured: La2Pd2Au at its PBEsol-relaxed geometry at the meta-GGA SCAN level of DFT.

Unit cell a=3.9630 b=7.5508 c=7.5508 alpha=90.00 beta=90.00 gamma=90.00
Positions (direct):
Pd1 0.0000 0.1285 0.3715
Pd2 0.0000 0.8715 0.6285
Pd3 0.0000 0.3715 0.8715
Pd4 0.0000 0.6285 0.1285
Au1 0.0000 0.0000 0.0000
Au2 0.0000 0.5000 0.5000
La1 0.5000 0.8223 0.3223
La2 0.5000 0.6777 0.8223
La3 0.5000 0.1777 0.6777
La4 0.5000 0.3223 0.1777

Values from the calculation:
Energy of formation from the pure elements: -0.94 eV/atom
Magnetic moment: 0.000 μB/atom
E: -45.12 eV/atom
Symmetry: P4/mbm (127)
Calculated volume: 113 Å³/f.u.


Computed, not measured: La3PdAu at its PBEsol-relaxed geometry at the meta-GGA SCAN level of DFT.

Unit cell a=5.5009 b=5.5009 c=5.5009 alpha=90.00 beta=90.00 gamma=90.00
Positions (direct):
Pd1 0.0000 0.0000 0.0000
La1 0.0000 0.5000 0.0000
La2 0.5000 0.0000 0.0000
La3 0.0000 0.0000 0.5000
Au1 0.5000 0.5000 0.5000

Values from the calculation:
Energy of formation from the pure elements: -0.24 eV/atom
Magnetic moment: 0.000 μB/atom
E: -46.49 eV/atom
Symmetry: Pm-3m (221)
Calculated volume: 166 Å³/f.u.


Computed, not measured: LaSnPdAu2 at its PBEsol-relaxed geometry at the meta-GGA SCAN level of DFT.

Unit cell a=4.9591 b=4.9591 c=5.9821 alpha=90.00 beta=90.00 gamma=90.00
Positions (direct):
Au1 0.5000 0.0000 0.0000
Au2 0.0000 0.5000 0.0000
Sn1 0.0000 0.0000 0.0000
La1 0.0000 0.0000 0.5000
Pd1 0.5000 0.5000 0.5000

Values from the calculation:
Energy of formation from the pure elements: 0.33 eV/atom
Magnetic moment: 0.000 μB/atom
E: -49.69 eV/atom
Symmetry: P4/mmm (123)
Calculated volume: 147 Å³/f.u.